DFT (GGA-PBE) results for CsHo4S6 after structural relaxation.

Cell lengths 3.966, 13.260, 21.276 Å; angles 90.00, 90.00, 90.00 degrees
Space group Cmcm (No. 63)
Symmetry-distinct sites (fractional):
Cs (0.000, 0.152, 0.250) (multiplicity 4)
Ho (0.000, 0.101, 0.632) (multiplicity 8)
Ho (0.000, 0.369, 0.539) (multiplicity 8)
S (0.000, 0.000, 0.000) (multiplicity 4)
S (0.000, 0.144, 0.750) (multiplicity 4)
S (0.000, 0.270, 0.078) (multiplicity 8)
S (0.000, 0.469, 0.645) (multiplicity 8)

Computed properties:
Its raw total energy is -65.1 eV per formula unit. The density of states at the Fermi level is 7.6 states/eV per cell. The uncorrected formation energy is -1.9227 eV/atom.